# 1
DFT (PBE) results for crystalline Sr2ZnIO6 at its relaxed geometry.

Lattice parameters (Å, degrees): 5.7888 5.7890 5.7333 59.68 59.68 60.00
Fractional coordinates of all 10 atoms:
Sr1 0.5657 0.5658 0.3029
Sr2 0.0665 0.0665 0.8004
Zn1 0.8162 0.8162 0.5515
I1 0.3162 0.3162 0.0515
O1 0.5564 0.1276 0.2981
O2 0.1275 0.0181 0.2982
O3 0.0181 0.5565 0.2980
O4 0.5049 0.6143 0.8047
O5 0.6142 0.0759 0.8050
O6 0.0759 0.5048 0.8049

Energy relative to the elements, uncorrected, meV/atom: -1644
Crystal system: trigonal

# 2
DFT (PBE) results for crystalline ErCu2AgF8 at its relaxed geometry.

Lattice parameters (Å, degrees): 5.5184 5.5184 6.5866 114.77 114.77 90.00
Site moments in Bohr magnetons follow the coordinates.
Fractional coordinates of all 12 atoms:
Er1 0.7500 0.2500 0.5000  0.02
Cu1 0.5000 0.5000 0.0000  0.68
Cu2 0.2500 0.7500 0.5000  0.67
Ag1 0.0000 0.0000 0.0000  0.16
F1 0.6998 0.8673 0.1387  0.06
F2 0.4389 0.2714 0.1387  0.06
F3 0.5840 0.6243 0.6106  0.06
F4 0.0266 0.9863 0.6106  0.06
F5 0.0137 0.4160 0.3894  0.06
F6 0.3757 0.9734 0.3894  0.06
F7 0.1327 0.5611 0.8613  0.06
F8 0.7286 0.3002 0.8613  0.06

Energy relative to the elements, uncorrected, meV/atom: -2255
Crystal system: tetragonal

Question: energy relative to the elements, uncorrected of number 2 (ErCu2AgF8)?
Answer: -2255 meV/atom